An optimized crystal structure of Ta2CuOs4. Source: Alexandria via LeMat-Bulk, functional PBE-GGA.

Cell lengths 4.4185, 4.4185, 12.9259 Å; angles 90.00, 90.00, 90.00 degrees
With the nearest neighbours (Å) after each atom.
Space group I4/mmm (No. 139)
Symmetry-distinct sites (fractional):
Ta 0.0000 0.0000 0.1243  5 Os 2.45-2.73
Cu 0.0000 0.0000 0.5000  6 Os 2.21-2.41
Os 0.0000 0.0000 0.3135  1 Cu 2.41, 1 Ta 2.45
Os 0.0000 0.5000 0.0000  2 Cu 2.21

ΔE_f ... 129.7 kJ per mole of atoms
Raw total energy ... -9.04 eV per atom

***

An optimized crystal structure of TaCuOs2. Source: Alexandria via LeMat-Bulk, functional PBE-GGA.

Cell lengths 8.8737, 2.7884, 4.8728 Å; angles 90.00, 99.68, 90.00 degrees
With the nearest neighbours (Å) after each atom.
Space group C2/m (No. 12)
Symmetry-distinct sites (fractional):
Ta 0.0000 0.0000 0.0000  6 Os 2.75-2.78, 2 Ta 2.79, 4 Cu 2.81
Cu 0.0000 0.5000 0.5000  6 Os 2.66-2.68, 2 Cu 2.79, 4 Ta 2.81
Os 0.2478 0.0000 0.7280  4 Os 2.63-2.79, 3 Cu 2.66-2.68, 3 Ta 2.75-2.78

ΔE_f ... 6.4 kJ per mole of atoms
Raw total energy ... -9.54 eV per atom